# 1
# Sr3TbGa2O8

A geometry-optimized Sr3TbGa2O8 structure (PBE-GGA, Alexandria).

Unit cell a=5.9334 b=5.9334 c=7.2766 alpha=90.00 beta=90.00 gamma=120.00
Last column: nearest neighbours and their distance in Å.
Space group P-3m1 (No. 164)
Asymmetric unit:
Sr 0.0000 0.0000 0.0000 (multiplicity 1)  6 O 2.86
Sr 0.3333 0.6667 0.6382 (multiplicity 2)  1 O 2.29
Tb 0.0000 0.0000 0.5000 (multiplicity 1)  6 O 2.22
Ga 0.3333 0.6667 0.1997 (multiplicity 2)  4 O 1.80-1.86
O 0.1704 0.3409 0.3116 (multiplicity 6)  1 Ga 1.86
O 0.3333 0.6667 0.9528 (multiplicity 2)  1 Ga 1.80

Properties
N(E_F) = 12.70 states/eV per cell
raw formation energy = -55.73 kcal/mol of atoms
calculated volume = 15.85 A^3/atom

***

# 2
# TbPm2Au6

A geometry-optimized TbPm2Au6 structure (PBE-GGA, Alexandria).

Unit cell a=5.3454 b=16.5226 c=5.2899 alpha=90.00 beta=119.61 gamma=90.00
Last column: nearest neighbours and their distance in Å.
Space group C2/m (No. 12)
Asymmetric unit:
Tb 0.0000 0.0000 0.0000 (multiplicity 2)  10 Au 3.05-3.10
Pm 0.0000 0.3349 0.5000 (multiplicity 4)  10 Au 3.07-3.22
Au 0.1573 0.5000 0.3260 (multiplicity 4)  5 Au 3.00-3.19, 3 Tb 3.05-3.10, 2 Pm 3.12
Au 0.1623 0.1632 0.8328 (multiplicity 8)  5 Au 3.03-3.26, 4 Pm 3.07-3.22, 1 Tb 3.09

Properties
formation energy from the elements = -0.756 eV per atom
N(E_F) = 9.70 states/eV per cell
calculated volume = 22.57 A^3/atom

***

# 3
# AcLa2Pd4

A geometry-optimized AcLa2Pd4 structure (PBE-GGA, Alexandria).

Unit cell a=8.8730 b=8.8730 c=9.1191 alpha=90.00 beta=90.00 gamma=90.00
Last column: nearest neighbours and their distance in Å.
Space group I-42d (No. 122)
Asymmetric unit:
Ac 0.0000 0.0000 0.0000 (multiplicity 4)  8 Pd 3.18-3.22
La 0.1353 0.2500 0.6250 (multiplicity 8)  8 Pd 3.00-3.09
Pd 0.0899 0.1531 0.3032 (multiplicity 16)  4 La 3.00-3.09, 2 Pd 3.13-3.15, 2 Ac 3.18-3.22

Properties
formation energy from the elements = -0.770 eV per atom
N(E_F) = 16.23 states/eV per cell
calculated volume = 25.64 A^3/atom

***

# 4
# TbHo2Ni

A geometry-optimized TbHo2Ni structure (PBE-GGA, Alexandria).

Unit cell a=3.7882 b=3.7882 c=26.4820 alpha=90.00 beta=90.00 gamma=120.00
Last column: nearest neighbours and their distance in Å.
Space group R3m (No. 160, hexagonal axes)
Asymmetric unit:
Tb 0.0000 0.0000 0.0000 (multiplicity 3)  6 Ho 3.55-3.64, 6 Tb 3.79
Ho 0.0000 0.0000 0.2276 (multiplicity 3)  3 Ni 2.67
Ho 0.0000 0.0000 0.4431 (multiplicity 3)  3 Ni 2.70
Ni 0.0000 0.0000 0.8361 (multiplicity 3)  6 Ho 2.67-2.70

Properties
formation energy from the elements = -0.107 eV per atom
N(E_F) = 13.36 states/eV per cell
calculated volume = 27.43 A^3/atom

***

# 5
# Sr3B2S6

A geometry-optimized Sr3B2S6 structure (PBE-GGA, Alexandria).

Unit cell a=7.2110 b=6.5040 c=11.6288 alpha=90.00 beta=100.39 gamma=90.00
Last column: nearest neighbours and their distance in Å.
Space group C2/m (No. 12)
Asymmetric unit:
Sr 0.0000 0.0000 0.0000 (multiplicity 2)  8 S 3.08-3.19
Sr 0.1724 0.0000 0.3510 (multiplicity 4)  5 S 2.96-3.28, 1 B 3.08
B 0.2487 0.0000 0.7600 (multiplicity 4)  3 S 1.81-1.85
S 0.1961 0.2386 0.8270 (multiplicity 8)  1 B 1.81
S 0.1970 0.5000 0.3896 (multiplicity 4)  1 B 1.85

Properties
N(E_F) = 0.00 states/eV per cell
raw formation energy = -30.51 kcal/mol of atoms
calculated volume = 24.38 A^3/atom

***

# 6
# ErSc2Cd5

A geometry-optimized ErSc2Cd5 structure (PBE-GGA, Alexandria).

Unit cell a=4.9886 b=4.9886 c=14.5041 alpha=90.00 beta=90.00 gamma=90.00
Last column: nearest neighbours and their distance in Å.
Space group I4/mmm (No. 139)
Asymmetric unit:
Er 0.0000 0.0000 0.0000 (multiplicity 2)  8 Cd 3.11
Sc 0.0000 0.0000 0.2584 (multiplicity 4)  8 Cd 2.99-3.13
Cd 0.0000 0.0000 0.5000 (multiplicity 2)  8 Cd 3.11
Cd 0.0000 0.5000 0.1281 (multiplicity 8)  4 Sc 2.99-3.13, 2 Cd 3.11, 2 Er 3.11

Properties
formation energy from the elements = -0.267 eV per atom
N(E_F) = 8.72 states/eV per cell
calculated volume = 22.56 A^3/atom

***

# 7
# LiHgIO2

A geometry-optimized LiHgIO2 structure (PBE-GGA, Alexandria).

Unit cell a=4.1208 b=4.1208 c=5.5151 alpha=90.00 beta=90.00 gamma=90.00
Last column: nearest neighbours and their distance in Å.
Space group P4/mmm (No. 123)
Asymmetric unit:
Li 0.0000 0.0000 0.0000 (multiplicity 1)  4 O 2.06
Hg 0.5000 0.5000 0.5000 (multiplicity 1)  4 I 2.91
I 0.0000 0.0000 0.5000 (multiplicity 1)  2 Li 2.76, 4 Hg 2.91
O 0.0000 0.5000 0.0000 (multiplicity 2)  2 Li 2.06

Properties
N(E_F) = 6.86 states/eV per cell
raw formation energy = 5.95 kcal/mol of atoms
calculated volume = 18.73 A^3/atom

***

# 8
# TlSb2Cl

A geometry-optimized TlSb2Cl structure (PBE-GGA, Alexandria).

Unit cell a=5.9283 b=12.0012 c=3.2743 alpha=90.00 beta=90.00 gamma=90.00
Last column: nearest neighbours and their distance in Å.
Space group Cmmm (No. 65)
Asymmetric unit:
Tl 0.0000 0.0000 0.0000 (multiplicity 2)  2 Cl 2.96, 2 Tl 3.27
Sb 0.2500 0.2500 0.5000 (multiplicity 4)  4 Sb 2.96-3.27
Cl 0.0000 0.5000 0.0000 (multiplicity 2)  2 Tl 2.96, 2 Cl 3.27

Properties
N(E_F) = 4.04 states/eV per cell
raw formation energy = 0.13 kcal/mol of atoms
calculated volume = 29.12 A^3/atom

***

# 9
# LaSnP2O8

A geometry-optimized LaSnP2O8 structure (PBE-GGA, Alexandria).

Unit cell a=5.2539 b=5.2539 c=7.3463 alpha=90.00 beta=90.00 gamma=120.00
Last column: nearest neighbours and their distance in Å.
Space group P-3 (No. 147)
Asymmetric unit:
La 0.0000 0.0000 0.0000 (multiplicity 1)  6 O 2.58
Sn 0.0000 0.0000 0.5000 (multiplicity 1)  6 O 2.25
P 0.3333 0.6667 0.7872 (multiplicity 2)  4 O 1.53-1.56
O 0.1572 0.3426 0.7200 (multiplicity 6)  1 P 1.56
O 0.3333 0.6667 0.9961 (multiplicity 2)  1 P 1.53

Properties
N(E_F) = 3.61 states/eV per cell
raw formation energy = -53.97 kcal/mol of atoms
calculated volume = 14.63 A^3/atom

***

# 10
# Tm3Cu2Hg2

A geometry-optimized Tm3Cu2Hg2 structure (PBE-GGA, Alexandria).

Unit cell a=3.8401 b=21.7793 c=3.6618 alpha=90.00 beta=90.00 gamma=90.00
Last column: nearest neighbours and their distance in Å.
Space group Cmmm (No. 65)
Asymmetric unit:
Tm 0.0000 0.0000 0.0000 (multiplicity 2)  8 Hg 3.22
Tm 0.0000 0.1694 0.0000 (multiplicity 4)  6 Cu 2.85-3.08
Cu 0.0000 0.2829 0.5000 (multiplicity 4)  2 Cu 2.40
Hg 0.0000 0.4162 0.5000 (multiplicity 4)  1 Cu 2.90, 8 Tm 3.22-3.24

Properties
formation energy from the elements = -0.386 eV per atom
N(E_F) = 9.29 states/eV per cell
calculated volume = 21.88 A^3/atom

***

# 11
# KNi2PdCl8

A geometry-optimized KNi2PdCl8 structure (PBE-GGA, Alexandria).

Unit cell a=6.2710 b=6.2710 c=27.8816 alpha=90.00 beta=90.00 gamma=120.00
Last column: nearest neighbours and their distance in Å.
Space group R-3 (No. 148, hexagonal axes)
Asymmetric unit:
K 0.0000 0.0000 0.0000 (multiplicity 3)  12 Cl 3.65-3.86
Ni 0.0000 0.0000 0.2399 (multiplicity 6)  4 Cl 2.17-2.21
Pd 0.0000 0.0000 0.5000 (multiplicity 3)  6 Cl 2.45
Cl 0.0000 0.0000 0.3178 (multiplicity 6)  1 Ni 2.17
Cl 0.0044 0.6873 0.4478 (multiplicity 18)  1 Ni 2.21, 1 Pd 2.45

Properties
N(E_F) = 21.47 states/eV per cell
raw formation energy = -15.64 kcal/mol of atoms
calculated volume = 26.38 A^3/atom

***

# 12
# LaYTm3Sc

A geometry-optimized LaYTm3Sc structure (PBE-GGA, Alexandria).

Unit cell a=4.9728 b=14.8300 c=9.9875 alpha=90.00 beta=90.00 gamma=90.00
Last column: nearest neighbours and their distance in Å.
Space group Cmcm (No. 63)
Asymmetric unit:
La 0.0000 0.0029 0.2500 (multiplicity 4)  2 Sc 3.52, 4 Y 3.52, 6 Tm 3.53-3.59
Y 0.0000 0.5000 0.0000 (multiplicity 4)  4 La 3.52, 6 Tm 3.54-3.57, 2 Sc 3.55
Tm 0.0000 0.1699 0.5011 (multiplicity 8)  3 Sc 3.43-3.53, 5 Tm 3.43-3.52, 2 La 3.53-3.57, 2 Y 3.54
Tm 0.0000 0.3280 0.2500 (multiplicity 4)  2 Sc 3.41, 6 Tm 3.43-3.52, 2 Y 3.57, 2 La 3.59
Sc 0.0000 0.3295 0.7500 (multiplicity 4)  8 Tm 3.41-3.53, 2 La 3.52, 2 Y 3.55

Properties
formation energy from the elements = 0.055 eV per atom
N(E_F) = 40.09 states/eV per cell
calculated volume = 30.69 A^3/atom

***

# 13
# Cs2AgTeO6

A geometry-optimized Cs2AgTeO6 structure (PBE-GGA, Alexandria).

Unit cell a=6.5953 b=6.5953 c=5.5781 alpha=90.00 beta=90.00 gamma=120.00
Last column: nearest neighbours and their distance in Å.
Space group P-3m1 (No. 164)
Asymmetric unit:
Cs 0.3333 0.6667 0.2335 (multiplicity 2)  12 O 3.33-3.65
Ag 0.0000 0.0000 0.0000 (multiplicity 1)  6 O 2.18
Te 0.0000 0.0000 0.5000 (multiplicity 1)  6 O 1.97
O 0.1338 0.2676 0.7221 (multiplicity 6)  1 Te 1.97, 1 Ag 2.18

Properties
N(E_F) = 4.51 states/eV per cell
raw formation energy = -20.37 kcal/mol of atoms
calculated volume = 21.01 A^3/atom

***

# 14
# Cr2ReW

A geometry-optimized Cr2ReW structure (PBE-GGA, Alexandria).

Unit cell a=2.6457 b=4.2503 c=4.9915 alpha=90.00 beta=100.41 gamma=90.00
Last column: nearest neighbours and their distance in Å.
Space group Pm (No. 6)
Asymmetric unit:
Cr 0.0000 0.0000 0.0000 (multiplicity 1)  2 W 2.56-2.65, 4 Cr 2.58-2.65, 2 Re 2.60
Cr 0.2503 0.5000 0.7610 (multiplicity 1)  2 Re 2.52-2.69, 4 Cr 2.58-2.65, 2 W 2.60
Re 0.7442 0.5000 0.2427 (multiplicity 1)  4 Cr 2.52-2.69, 2 Re 2.65, 2 W 2.66
W 0.4948 0.0000 0.5125 (multiplicity 1)  4 Cr 2.56-2.65, 2 W 2.65, 2 Re 2.66

Properties
formation energy from the elements = 0.075 eV per atom
N(E_F) = 3.69 states/eV per cell
calculated volume = 13.80 A^3/atom

***

# 15
# HfV2B6

A geometry-optimized HfV2B6 structure (PBE-GGA, Alexandria).

Unit cell a=5.2791 b=5.2791 c=3.2152 alpha=90.00 beta=90.00 gamma=120.00
Last column: nearest neighbours and their distance in Å.
Space group P6/mmm (No. 191)
Asymmetric unit:
Hf 0.0000 0.0000 0.0000 (multiplicity 1)  12 B 2.40
V 0.3333 0.6667 0.0000 (multiplicity 2)  12 B 2.37
B 0.0000 0.3388 0.5000 (multiplicity 6)  3 B 1.70-1.79

Properties
formation energy from the elements = -0.772 eV per atom
N(E_F) = 3.61 states/eV per cell
calculated volume = 8.62 A^3/atom

***

# 16
# K2BaCo

A geometry-optimized K2BaCo structure (PBE-GGA, Alexandria).

Unit cell a=8.6629 b=8.6629 c=8.6629 alpha=90.00 beta=90.00 gamma=90.00
Last column: nearest neighbours and their distance in Å.
Space group F-43m (No. 216)
Asymmetric unit:
K 0.0000 0.0000 0.0000 (multiplicity 4)  4 K 3.75, 4 Co 3.75
K 0.2500 0.2500 0.2500 (multiplicity 4)  4 Ba 3.75, 4 K 3.75
Ba 0.0000 0.0000 0.5000 (multiplicity 4)  4 Co 3.75, 4 K 3.75
Co 0.2500 0.2500 0.7500 (multiplicity 4)  4 Ba 3.75, 4 K 3.75

Properties
formation energy from the elements = 0.751 eV per atom
N(E_F) = 36.95 states/eV per cell
calculated volume = 40.63 A^3/atom

***

# 17
# ZrPbW2

A geometry-optimized ZrPbW2 structure (PBE-GGA, Alexandria).

Unit cell a=3.4935 b=4.6487 c=9.4753 alpha=90.00 beta=90.00 gamma=90.00
Last column: nearest neighbours and their distance in Å.
Space group Immm (No. 71)
Asymmetric unit:
Zr 0.0000 0.0000 0.0000 (multiplicity 2)  4 W 2.87, 4 Pb 2.91
Pb 0.0000 0.0000 0.5000 (multiplicity 2)  4 Zr 2.91, 8 W 3.02-3.25
W 0.0000 0.5000 0.2600 (multiplicity 4)  2 Zr 2.87, 4 W 2.91, 2 Pb 3.02

Properties
formation energy from the elements = 0.489 eV per atom
N(E_F) = 4.28 states/eV per cell
calculated volume = 19.23 A^3/atom

***

# 18
# Rh4O

A geometry-optimized Rh4O structure (PBE-GGA, Alexandria).

Unit cell a=4.0920 b=4.0920 c=4.0920 alpha=90.00 beta=90.00 gamma=90.00
Last column: nearest neighbours and their distance in Å.
Space group Pm-3m (No. 221)
Asymmetric unit:
Rh 0.0000 0.0000 0.0000 (multiplicity 1)  12 Rh 2.89
Rh 0.0000 0.5000 0.5000 (multiplicity 3)  2 O 2.05
O 0.5000 0.5000 0.5000 (multiplicity 1)  6 Rh 2.05

Properties
N(E_F) = 7.16 states/eV per cell
raw formation energy = 7.59 kcal/mol of atoms
calculated volume = 13.70 A^3/atom

***

# 19
# CuRe2W

A geometry-optimized CuRe2W structure (PBE-GGA, Alexandria).

Unit cell a=9.0235 b=2.8058 c=4.7446 alpha=90.00 beta=100.64 gamma=90.00
Last column: nearest neighbours and their distance in Å.
Space group C2/m (No. 12)
Asymmetric unit:
Cu 0.0000 0.0000 0.0000 (multiplicity 2)  6 Re 2.72-2.73, 4 W 2.76, 2 Cu 2.81
Re 0.2495 0.0000 0.7542 (multiplicity 4)  3 Cu 2.72-2.73, 6 Re 2.72-2.81, 3 W 2.74-2.75
W 0.0000 0.5000 0.5000 (multiplicity 2)  6 Re 2.74-2.75, 4 Cu 2.76, 2 W 2.81

Properties
formation energy from the elements = 0.262 eV per atom
N(E_F) = 5.48 states/eV per cell
calculated volume = 14.76 A^3/atom

***

# 20
# TlAsH2O

A geometry-optimized TlAsH2O structure (PBE-GGA, Alexandria).

Unit cell a=3.7352 b=3.7352 c=5.1854 alpha=90.00 beta=90.00 gamma=90.00
Last column: nearest neighbours and their distance in Å.
Space group P4/mmm (No. 123)
Asymmetric unit:
Tl 0.0000 0.0000 0.0000 (multiplicity 1)  2 O 2.59, 4 As 2.64
As 0.5000 0.5000 0.0000 (multiplicity 1)  4 Tl 2.64
H 0.0000 0.5000 0.5000 (multiplicity 2)  2 O 1.87
O 0.0000 0.0000 0.5000 (multiplicity 1)  4 H 1.87

Properties
N(E_F) = 1.99 states/eV per cell
total DFT energy (no corrections) = -2.909 eV/atom
calculated volume = 14.47 A^3/atom